i) The following is a PBE calculation of a relaxed Lu2InNi crystal, from the Alexandria database.

Geometry as POSCAR:
```
Lu2InNi
1.0
-4.799 0.091 -1.345
-3.004 -3.785 1.225
-3.543 0.645 3.447
Lu Ni In
2 1 1
direct
0.750 0.750 0.750
0.250 0.250 0.250
0.500 0.500 0.500
0.000 0.000 0.000
```

Computed properties:
Symmetry: No. 225

***

ii) The following is a PBE calculation of a relaxed Lu2InNi crystal, from the Alexandria database.

Geometry as POSCAR:
```
Lu2InNi
1.0
3.379 0.000 0.000
0.000 3.379 0.000
0.000 0.000 7.578
Lu In Ni
2 1 1
direct
0.000 0.000 0.789
0.000 0.000 0.211
0.500 0.500 0.500
0.500 0.500 0.000
```

Computed properties:
Symmetry: No. 123

***

Stability ranking, top entry: ii); the second entry is 0.124 eV/atom less favorable.

***

i) The following is a PBE calculation of a relaxed LuNpIn2 crystal, from the Alexandria database.

Geometry as POSCAR:
```
LuNpIn2
1.0
-0.072 2.784 -1.611
-0.965 -1.555 -2.646
-9.128 1.263 2.588
Np Lu In
1 1 2
direct
0.500 0.500 0.000
0.500 0.500 0.500
0.000 0.000 0.743
0.000 0.000 0.257
```

Computed properties:
Symmetry: No. 123

***

ii) The following is a PBE calculation of a relaxed LuNpIn2 crystal, from the Alexandria database.

Geometry as POSCAR:
```
LuNpIn2
1.0
-2.678 1.331 3.195
-3.604 -2.643 -1.920
1.346 -3.807 2.714
In Np Lu
2 1 1
direct
0.000 0.500 0.000
0.000 0.000 0.500
0.500 0.000 0.000
0.500 0.500 0.500
```

Computed properties:
Symmetry: No. 123

***

Stability ranking, top entry: i); the second entry is 0.082 eV/atom less favorable.